The following is a DFT calculation (PBE) of crystalline HfSnBr2 at its relaxed geometry.

```
HfSnBr2
1.0
-9.158 5.063 6.202
-6.662 5.892 8.299
-7.363 7.856 5.659
Br Hf Sn
2 1 1
Cartesian
-20.570 16.691 17.888 Br
-2.612 2.120 2.272 Br
-11.591 9.406 10.080 Hf
0.000 0.000 0.000 Sn
```

Results
Mass density ... 6.4 g/cm3
Formation energy from raw total energies ... -0.592 eV/atom
Excess energy over the best structure of this formula in the dataset ... 0 meV/atom